No. 1
VASP calculation (PBE) on an optimized crystal structure of PmTm2ScIn4.

POSCAR file:
```
PmTm2ScIn4
1.0
5.248 0.000 0.000
2.624 4.545 0.000
2.624 1.515 8.628
Sc In Tm Pm
1 4 2 1
direct
0.500 0.500 0.500
0.622 0.622 0.135
0.378 0.378 0.865
0.128 0.128 0.617
0.872 0.872 0.383
0.751 0.751 0.747
0.249 0.249 0.253
0.000 0.000 0.000
```

Space-group type: R-3m
Calculated volume (Å³/f.u.): 205.78
DOS(E_F) (states/eV/atom): 0.608
Calculated formation energy (meV/atom): -423

=====

No. 2
VASP calculation (PBE) on an optimized crystal structure of PmTmScIn.

POSCAR file:
```
PmTmScIn
1.0
-2.388 -0.630 -4.764
2.897 -1.431 -4.285
-0.554 -4.909 -2.095
Pm In Tm Sc
1 1 1 1
direct
0.250 0.250 0.250
0.500 0.500 0.500
0.750 0.750 0.750
0.000 0.000 0.000
```

Space-group type: F-43m
Calculated volume (Å³/f.u.): 109.28
DOS(E_F) (states/eV/atom): 1.390
Calculated formation energy (meV/atom): -154
Energy above the lowest structure with this stoichiometry (kJ/mol of formula units): 0

=====

No. 3
VASP calculation (PBE) on an optimized crystal structure of PmTmSc2In4.

POSCAR file:
```
PmTmSc2In4
1.0
5.198 0.000 0.000
2.599 4.501 0.000
2.599 1.500 8.517
Tm In Pm Sc
1 4 1 2
direct
0.500 0.500 0.500
0.623 0.623 0.131
0.377 0.377 0.869
0.127 0.127 0.620
0.873 0.873 0.380
0.000 0.000 0.000
0.751 0.751 0.748
0.249 0.249 0.252
```

Space-group type: R-3m
Calculated volume (Å³/f.u.): 199.27
DOS(E_F) (states/eV/atom): 0.601
Calculated formation energy (meV/atom): -420

=====

No. 4
VASP calculation (PBE) on an optimized crystal structure of PmYScIn.

POSCAR file:
```
PmYScIn
1.0
5.401 0.000 0.000
2.700 4.677 0.000
2.700 1.559 4.410
In Sc Y Pm
1 1 1 1
direct
0.000 0.000 0.000
0.500 0.500 0.500
0.250 0.250 0.250
0.750 0.750 0.750
```

Space-group type: F-43m
Calculated volume (Å³/f.u.): 111.40
DOS(E_F) (states/eV/atom): 1.266
Calculated formation energy (meV/atom): -177
Energy above the lowest structure with this stoichiometry (kJ/mol of formula units): 32

=====

No. 5
VASP calculation (PBE) on an optimized crystal structure of PmYScIn.

POSCAR file:
```
PmYScIn
1.0
-0.081 1.693 4.473
0.224 -4.451 1.688
4.814 0.241 -0.003
Pm Sc In Y
1 1 1 1
direct
0.000 0.500 0.500
0.500 0.000 0.500
0.500 0.500 0.000
0.000 0.000 0.000
```

Space-group type: Pmmm
Calculated volume (Å³/f.u.): 109.86
DOS(E_F) (states/eV/atom): 1.457
Calculated formation energy (meV/atom): -260
Energy above the lowest structure with this stoichiometry (kJ/mol of formula units): 0

=====

No. 6
VASP calculation (PBE) on an optimized crystal structure of PmYSc2In4.

POSCAR file:
```
PmYSc2In4
1.0
-3.533 -2.786 2.637
-1.694 -4.546 -1.915
4.534 -6.515 4.350
Y In Sc Pm
1 4 2 1
direct
0.500 0.500 0.500
0.874 0.874 0.378
0.126 0.126 0.622
0.624 0.624 0.128
0.376 0.376 0.872
0.750 0.750 0.749
0.250 0.250 0.251
0.000 0.000 0.000
```

Space-group type: R-3m
Calculated volume (Å³/f.u.): 201.08
DOS(E_F) (states/eV/atom): 0.534
Calculated formation energy (meV/atom): -438

=====

No. 7
VASP calculation (PBE) on an optimized crystal structure of PmY2ScIn4.

POSCAR file:
```
PmY2ScIn4
1.0
-0.927 -5.199 0.022
3.366 -3.293 -2.390
5.303 -3.600 6.594
In Y Pm Sc
4 2 1 1
direct
0.873 0.873 0.382
0.378 0.378 0.866
0.622 0.622 0.134
0.127 0.127 0.618
0.249 0.249 0.253
0.751 0.751 0.747
0.000 0.000 0.000
0.500 0.500 0.500
```

Space-group type: R-3m
Calculated volume (Å³/f.u.): 209.51
DOS(E_F) (states/eV/atom): 0.501
Calculated formation energy (meV/atom): -461

=====

No. 8
VASP calculation (PBE) on an optimized crystal structure of PmSc2Zn2In2.

POSCAR file:
```
PmSc2Zn2In2
1.0
-0.099 -3.400 -3.186
3.985 -1.703 -1.715
1.481 -7.580 4.634
In Zn Sc Pm
2 2 2 1
direct
0.741 0.741 0.778
0.259 0.259 0.222
0.440 0.440 0.679
0.560 0.560 0.321
0.136 0.136 0.591
0.864 0.864 0.409
0.000 0.000 0.000
```

Space-group type: R-3m
Calculated volume (Å³/f.u.): 161.68
DOS(E_F) (states/eV/atom): 0.737
Calculated formation energy (meV/atom): -284

=====

No. 9
VASP calculation (PBE) on an optimized crystal structure of PmZrScIn.

POSCAR file:
```
PmZrScIn
1.0
-0.432 5.129 -0.884
-3.123 1.739 -3.807
-4.432 2.491 1.192
Zr In Sc Pm
1 1 1 1
direct
0.750 0.750 0.750
0.500 0.500 0.500
0.000 0.000 0.000
0.250 0.250 0.250
```

Space-group type: F-43m
Calculated volume (Å³/f.u.): 100.69
DOS(E_F) (states/eV/atom): 1.755
Calculated formation energy (meV/atom): -79

=====

No. 10
VASP calculation (PBE) on an optimized crystal structure of PmInSe3.

POSCAR file:
```
PmInSe3
1.0
-2.114 -3.683 0.289
6.425 -3.649 0.508
-1.865 1.872 10.222
In Se Pm
2 6 2
direct
0.250 0.100 0.141
0.750 0.900 0.859
0.250 0.772 0.964
0.250 0.454 0.342
0.750 0.546 0.658
0.250 0.966 0.355
0.750 0.034 0.645
0.750 0.228 0.036
0.750 0.712 0.429
0.250 0.288 0.571
```

Uncorrected formation energy (meV per atom): -1163
Space-group type: P2_1/m
Calculated volume (Å³/f.u.): 163.88
Energy above the lowest structure with this stoichiometry (kJ/mol of formula units): 0

=====

No. 11
VASP calculation (PBE) on an optimized crystal structure of PmInSe3.

POSCAR file:
```
PmInSe3
1.0
7.299 0.000 -0.456
0.000 7.485 0.000
-1.127 0.000 10.475
Pm Se In
4 12 4
direct
0.066 0.367 0.713
0.934 0.633 0.287
0.566 0.133 0.213
0.434 0.867 0.787
0.155 0.667 0.894
0.155 0.697 0.565
0.851 0.064 0.813
0.351 0.436 0.313
0.845 0.303 0.435
0.149 0.936 0.187
0.345 0.167 0.606
0.345 0.197 0.935
0.655 0.833 0.394
0.655 0.803 0.065
0.845 0.333 0.106
0.649 0.564 0.687
0.644 0.349 0.880
0.856 0.849 0.620
0.144 0.151 0.380
0.356 0.651 0.120
```

Uncorrected formation energy (meV per atom): -1097
Space-group type: P2_1/c
Calculated volume (Å³/f.u.): 142.12
Energy above the lowest structure with this stoichiometry (kJ/mol of formula units): 31

=====

No. 12
VASP calculation (PBE) on an optimized crystal structure of Pm4InSe3.

POSCAR file:
```
Pm4InSe3
1.0
-3.739 -0.690 -4.709
4.638 0.815 -3.802
0.616 -6.012 4.282
Pm Se In
4 3 1
direct
0.256 0.256 0.511
0.500 0.000 0.000
0.744 0.744 0.489
0.000 0.500 0.000
0.750 0.250 0.500
0.250 0.750 0.500
0.500 0.500 0.000
0.000 0.000 0.000
```

Uncorrected formation energy (meV per atom): -1494
Space-group type: I4/mmm
Calculated volume (Å³/f.u.): 221.44
DOS(E_F) (states/eV/atom): 0.290

=====

No. 13
VASP calculation (PBE) on an optimized crystal structure of PmInSe2.

POSCAR file:
```
PmInSe2
1.0
-0.146 -1.333 3.469
0.443 -3.453 -1.309
7.478 0.733 0.596
In Pm Se
1 1 2
direct
0.500 0.500 0.500
0.500 0.500 0.000
0.000 0.000 0.219
0.000 0.000 0.781
```

Uncorrected formation energy (meV per atom): -1117
Space-group type: P4/mmm
Calculated volume (Å³/f.u.): 104.25
DOS(E_F) (states/eV/atom): 0.211

=====

No. 14
VASP calculation (PBE) on an optimized crystal structure of Pm6InSe4.

POSCAR file:
```
Pm6InSe4
1.0
-0.538 2.727 3.102
-1.955 -6.543 2.617
20.061 -3.404 6.472
Pm In Se
12 2 8
direct
0.339 0.678 0.250
0.500 0.000 0.000
0.955 0.909 0.662
0.500 0.000 0.500
0.772 0.544 0.415
0.045 0.091 0.162
0.772 0.544 0.085
0.955 0.909 0.838
0.228 0.456 0.585
0.661 0.322 0.750
0.228 0.456 0.915
0.045 0.091 0.338
0.333 0.665 0.750
0.667 0.335 0.250
0.409 0.819 0.123
0.138 0.276 0.460
0.862 0.724 0.540
0.138 0.276 0.040
0.862 0.724 0.960
0.591 0.181 0.623
0.409 0.819 0.377
0.591 0.181 0.877
```

Uncorrected formation energy (meV per atom): -1429
Space-group type: Cmcm
Calculated volume (Å³/f.u.): 311.73
DOS(E_F) (states/eV/atom): 0.711

=====

No. 15
VASP calculation (PBE) on an optimized crystal structure of Pm3InSe6.

POSCAR file:
```
Pm3InSe6
1.0
-2.670 6.492 -0.440
-0.980 0.215 9.122
8.445 3.394 -1.174
Pm Se In
6 12 2
direct
0.887 0.595 0.405
0.985 0.718 0.912
0.485 0.282 0.088
0.485 0.912 0.718
0.387 0.405 0.595
0.985 0.088 0.282
0.213 0.097 0.557
0.713 0.903 0.443
0.184 0.370 0.305
0.176 0.034 0.966
0.213 0.443 0.903
0.184 0.695 0.630
0.684 0.305 0.370
0.146 0.779 0.221
0.684 0.630 0.695
0.713 0.557 0.097
0.646 0.221 0.779
0.676 0.966 0.034
0.013 0.202 0.798
0.513 0.798 0.202
```

Uncorrected formation energy (meV per atom): -1551
Space-group type: Cmc2_1
Calculated volume (Å³/f.u.): 289.13
DOS(E_F) (states/eV/atom): 0.000

=====

No. 16
VASP calculation (PBE) on an optimized crystal structure of Pm3InSe.

POSCAR file:
```
Pm3InSe
1.0
4.161 0.000 0.000
0.000 9.210 0.000
0.000 0.000 15.743
Pm In Se
12 4 4
direct
0.250 0.343 0.523
0.750 0.157 0.023
0.750 0.311 0.285
0.250 0.689 0.715
0.250 0.189 0.785
0.750 0.811 0.215
0.250 0.843 0.977
0.250 0.470 0.113
0.750 0.657 0.477
0.750 0.530 0.887
0.750 0.030 0.613
0.250 0.970 0.387
0.250 0.588 0.319
0.750 0.412 0.681
0.250 0.088 0.181
0.750 0.912 0.819
0.250 0.831 0.554
0.750 0.169 0.446
0.750 0.669 0.054
0.250 0.331 0.946
```

Uncorrected formation energy (meV per atom): -906
Space-group type: Pnma
Calculated volume (Å³/f.u.): 150.82
DOS(E_F) (states/eV/atom): 0.915

=====

No. 17
VASP calculation (PBE) on an optimized crystal structure of PmInSe2.

POSCAR file:
```
PmInSe2
1.0
4.257 0.000 -0.004
-2.128 3.688 0.004
-2.123 -1.232 7.726
Se In Pm
2 1 1
direct
0.476 0.738 0.214
0.524 0.262 0.786
0.000 0.500 0.500
0.000 0.000 0.000
```

Uncorrected formation energy (meV per atom): -1297
Space-group type: R-3m
Calculated volume (Å³/f.u.): 121.28

=====

No. 18
VASP calculation (PBE) on an optimized crystal structure of Pm8InSe6.

POSCAR file:
```
Pm8InSe6
1.0
-1.415 2.858 -2.716
6.127 -4.404 -7.827
-10.161 -3.529 1.582
Pm Se In
8 6 1
direct
0.250 0.667 0.333
0.749 0.327 0.035
0.251 0.292 0.327
0.749 0.965 0.292
0.750 0.333 0.667
0.251 0.673 0.965
0.251 0.035 0.708
0.749 0.708 0.673
0.251 0.133 0.484
0.749 0.484 0.351
0.749 0.649 0.133
0.251 0.516 0.649
0.251 0.351 0.867
0.749 0.867 0.516
0.500 0.000 0.000
```

Uncorrected formation energy (meV per atom): -1376
Space-group type: P-3
Calculated volume (Å³/f.u.): 428.75
DOS(E_F) (states/eV/atom): 0.848

=====

No. 19
VASP calculation (PBE) on an optimized crystal structure of Pm3InSe2.

POSCAR file:
```
Pm3InSe2
1.0
4.036 -0.117 -1.031
-0.490 5.516 -2.545
-0.208 0.117 7.590
Pm Se In
3 2 1
direct
0.500 0.500 0.000
0.178 0.178 0.355
0.822 0.822 0.645
0.164 0.664 0.328
0.836 0.336 0.672
0.500 0.000 0.000
```

Uncorrected formation energy (meV per atom): -1369
Space-group type: Immm
Calculated volume (Å³/f.u.): 168.55
DOS(E_F) (states/eV/atom): 0.240

=====

No. 20
VASP calculation (PBE) on an optimized crystal structure of Pm7InSe5.

POSCAR file:
```
Pm7InSe5
1.0
-3.279 -2.427 0.895
4.459 -3.955 -4.135
11.716 -8.261 20.531
Pm Se In
14 10 2
direct
0.363 0.726 0.536
0.908 0.816 0.112
0.908 0.816 0.388
0.479 0.958 0.250
0.092 0.185 0.612
0.638 0.275 0.464
0.638 0.275 0.036
0.363 0.726 0.964
0.183 0.365 0.324
0.183 0.365 0.176
0.818 0.636 0.676
0.092 0.185 0.888
0.818 0.636 0.824
0.521 0.043 0.750
0.726 0.451 0.571
0.452 0.905 0.859
0.548 0.097 0.359
0.000 0.001 0.000
0.275 0.550 0.071
0.275 0.550 0.429
0.726 0.451 0.929
0.000 0.001 0.500
0.452 0.905 0.641
0.548 0.097 0.141
0.807 0.613 0.250
0.194 0.388 0.750
```

Uncorrected formation energy (meV per atom): -1495
Space-group type: Cmcm
Calculated volume (Å³/f.u.): 363.32
DOS(E_F) (states/eV/atom): 0.645

=====

No. 21
VASP calculation (PBE) on an optimized crystal structure of Pm2In2Se5.

POSCAR file:
```
Pm2In2Se5
1.0
-0.438 4.552 0.865
-4.785 -1.520 -6.950
-1.806 -1.900 9.083
Pm In Se
2 2 5
direct
0.381 0.762 0.739
0.619 0.238 0.261
0.866 0.731 0.213
0.134 0.269 0.787
0.377 0.755 0.067
0.000 0.000 0.000
0.855 0.709 0.503
0.623 0.245 0.933
0.145 0.291 0.497
```

Uncorrected formation energy (meV per atom): -1086
Space-group type: C2/m
Calculated volume (Å³/f.u.): 272.28
DOS(E_F) (states/eV/atom): 0.597

=====

No. 22
VASP calculation (PBE) on an optimized crystal structure of PmInSe2.

POSCAR file:
```
PmInSe2
1.0
-0.477 3.929 -1.652
-3.926 1.646 -0.520
-1.086 5.389 7.564
Se In Pm
2 1 1
direct
0.108 0.108 0.677
0.892 0.892 0.323
0.000 0.000 0.000
0.500 0.500 0.500
```

Uncorrected formation energy (meV per atom): -1114
Space-group type: R-3m
Calculated volume (Å³/f.u.): 143.66
DOS(E_F) (states/eV/atom): 0.119